{"formula": "In2BiMoO8", "functional": "GGA+U", "state": "optimized geometry", "magnetic_moment_mub_per_cell": 0.00, "vol_a3_per_atom": 13.5, "dft_energy_ev_per_cell": -72.8, "space_group": "Cmmm, No. 65", "crystal_system": "orthorhombic", "lattice_angstrom": [[4.940, -0.082, -0.003], [-0.064, 4.940, -0.005], [0.004, 0.007, 6.662]], "species": ["O", "O", "O", "O", "O", "O", "O", "O", "In", "In", "Bi", "Mo"], "fractional_positions": [[0.714, 0.714, 0.000], [0.314, 0.314, 0.500], [0.686, 0.686, 0.500], [0.185, 0.814, 0.783], [0.815, 0.186, 0.783], [0.185, 0.814, 0.217], [0.815, 0.186, 0.217], [0.286, 0.286, 0.000], [0.500, 0.500, 0.241], [0.500, 0.500, 0.759], [0.000, 0.000, 0.500], [0.000, 0.000, 0.000]]}